(1)
First-principles (meta-GGA SCAN) data for a PBEsol-optimized structure of RbLa2TaTi2O10, as listed in Alexandria via LeMat-Bulk. Values from VASP.

Computed properties:
As for the density of states at the Fermi level: 0.00 states/eV per atom. For the total moment, the calculation gives 0.00 μB per formula unit. As for the volume: 224.7 Å³/f.u. The calculation puts the total energy at -0.73976 hartree per atom. Its raw formation energy is -3386 meV/atom.

Quantum ESPRESSO input file:
```
&SYSTEM
  ibrav = 0, nat = 16, ntyp = 5
/
ATOMIC_SPECIES
Rb 85.47 Rb.upf
La 138.91 La.upf
Ta 180.95 Ta.upf
Ti 47.87 Ti.upf
O 16.00 O.upf
ATOMIC_POSITIONS angstrom
Rb 0.000 0.000 0.000
La 0.003 0.000 5.074
La 0.011 0.000 9.431
Ta 2.725 0.000 11.762
Ti 2.720 0.000 3.033
Ti 2.724 0.000 7.422
O 1.363 1.357 3.598
O 1.373 1.360 7.589
O 1.369 1.358 11.276
O 1.363 -1.357 3.598
O 2.719 0.000 1.345
O 2.725 0.000 5.569
O 2.726 0.000 9.445
O 2.724 0.000 13.546
O 1.373 -1.360 7.589
O 1.369 -1.358 11.276
CELL_PARAMETERS angstrom
2.715 -2.714 0.000
2.715 2.714 0.000
-0.010 0.000 15.245
```

---

(2)
First-principles (meta-GGA SCAN) data for a PBEsol-optimized structure of InCu2W, as listed in Alexandria via LeMat-Bulk. Values from VASP.

Computed properties:
As for the density of states at the Fermi level: 0.60 states/eV per atom. For the total moment, the calculation gives 0.00 μB per formula unit. As for the volume: 58.9 Å³/f.u. The calculation puts the total energy at -1.20889 hartree per atom. The value obtained for the formation energy is 0.473 eV per atom.

Quantum ESPRESSO input file:
```
&SYSTEM
  ibrav = 0, nat = 4, ntyp = 3
/
ATOMIC_SPECIES
In 114.82 In.upf
Cu 63.55 Cu.upf
W 183.84 W.upf
ATOMIC_POSITIONS angstrom
In 0.000 0.000 0.000
Cu 1.397 1.957 1.343
Cu 1.397 -1.957 1.343
W 2.802 0.000 0.000
CELL_PARAMETERS angstrom
2.802 -3.915 0.000
2.802 3.915 0.000
-0.008 0.000 2.686
```

---

(3)
First-principles (meta-GGA SCAN) data for a PBEsol-optimized structure of Na2Pt, as listed in Alexandria via LeMat-Bulk. Values from VASP.

Computed properties:
As for the density of states at the Fermi level: 0.29 states/eV per atom. For the total moment, the calculation gives 0.00 μB per formula unit. As for the volume: 59.4 Å³/f.u. The calculation puts the total energy at -0.96379 hartree per atom. The value obtained for the formation energy is -0.018 eV per atom.

Quantum ESPRESSO input file:
```
&SYSTEM
  ibrav = 0, nat = 3, ntyp = 2
/
ATOMIC_SPECIES
Na 22.99 Na.upf
Pt 195.08 Pt.upf
ATOMIC_POSITIONS angstrom
Na 0.000 0.000 1.451
Na 0.000 0.000 8.044
Pt 0.000 0.000 4.748
CELL_PARAMETERS angstrom
-1.769 1.769 4.748
1.769 -1.769 4.748
1.769 1.769 -4.748
```

---

(4)
First-principles (meta-GGA SCAN) data for a PBEsol-optimized structure of YPOF2, as listed in Alexandria via LeMat-Bulk. Values from VASP.

Computed properties:
As for the density of states at the Fermi level: 0.18 states/eV per atom. For the total moment, the calculation gives 2.00 μB per formula unit. As for the volume: 81.9 Å³/f.u. The calculation puts the total energy at -0.45911 hartree per atom. Its raw formation energy is -2182 meV/atom.

Quantum ESPRESSO input file:
```
&SYSTEM
  ibrav = 0, nat = 5, ntyp = 4
/
ATOMIC_SPECIES
Y 88.91 Y.upf
P 30.97 P.upf
O 16.00 O.upf
F 19.00 F.upf
ATOMIC_POSITIONS angstrom
Y 0.000 0.000 0.000
P 2.133 2.133 2.248
O 0.000 0.000 2.248
F 0.000 2.133 0.000
F 2.133 0.000 0.000
CELL_PARAMETERS angstrom
4.267 0.000 0.000
0.000 4.267 0.000
0.000 0.000 4.497
```

---

(5)
First-principles (meta-GGA SCAN) data for a PBEsol-optimized structure of ZrScSi2, as listed in Alexandria via LeMat-Bulk. Values from VASP.

Computed properties:
As for the density of states at the Fermi level: 0.37 states/eV per atom. For the total moment, the calculation gives 0.63 μB per formula unit. As for the volume: 68.1 Å³/f.u. The calculation puts the total energy at -0.61562 hartree per atom. Its raw formation energy is -510 meV/atom. As for the energy above the most stable polymorph in this dataset: 389 meV per atom.

Quantum ESPRESSO input file:
```
&SYSTEM
  ibrav = 0, nat = 4, ntyp = 3
/
ATOMIC_SPECIES
Zr 91.22 Zr.upf
Sc 44.96 Sc.upf
Si 28.09 Si.upf
ATOMIC_POSITIONS angstrom
Zr 0.000 0.000 0.000
Sc 0.000 0.000 3.923
Si 1.473 1.473 1.971
Si 1.473 1.473 5.874
CELL_PARAMETERS angstrom
2.946 0.000 0.000
0.000 2.946 0.000
0.000 0.000 7.845
```

---

(6)
First-principles (meta-GGA SCAN) data for a PBEsol-optimized structure of Sc2SbRu, as listed in Alexandria via LeMat-Bulk. Values from VASP.

Computed properties:
As for the density of states at the Fermi level: 0.24 states/eV per atom. For the total moment, the calculation gives 0.00 μB per formula unit. As for the volume: 77.5 Å³/f.u. The calculation puts the total energy at -0.95054 hartree per atom. Its raw formation energy is -725 meV/atom.

Quantum ESPRESSO input file:
```
&SYSTEM
  ibrav = 0, nat = 4, ntyp = 3
/
ATOMIC_SPECIES
Sc 44.96 Sc.upf
Sb 121.76 Sb.upf
Ru 101.07 Ru.upf
ATOMIC_POSITIONS angstrom
Sc 0.000 0.000 1.537
Sc 0.000 0.000 6.008
Sb 1.603 1.603 3.772
Ru 1.603 1.603 0.000
CELL_PARAMETERS angstrom
3.206 0.000 0.000
0.000 3.206 0.000
0.000 0.000 7.545
```

---

(7)
First-principles (meta-GGA SCAN) data for a PBEsol-optimized structure of Ta2MnTc, as listed in Alexandria via LeMat-Bulk. Values from VASP.

Computed properties:
As for the density of states at the Fermi level: 0.99 states/eV per atom. For the total moment, the calculation gives 1.93 μB per formula unit. As for the volume: 61.7 Å³/f.u. The calculation puts the total energy at -1.70631 hartree per atom. The value obtained for the formation energy is 0.189 eV per atom.

Quantum ESPRESSO input file:
```
&SYSTEM
  ibrav = 0, nat = 4, ntyp = 3
/
ATOMIC_SPECIES
Ta 180.95 Ta.upf
Mn 54.94 Mn.upf
Tc 98.00 Tc.upf
ATOMIC_POSITIONS angstrom
Ta 0.000 0.000 0.000
Ta 0.000 0.000 6.265
Mn 0.000 0.000 12.905
Tc 0.000 0.000 19.810
CELL_PARAMETERS angstrom
1.426 0.823 8.749
-1.426 0.823 8.749
0.000 -1.647 8.749
```

---

(8)
First-principles (meta-GGA SCAN) data for a PBEsol-optimized structure of ZnSbTe2Ru, as listed in Alexandria via LeMat-Bulk. Values from VASP.

Computed properties:
As for the density of states at the Fermi level: 0.77 states/eV per atom. For the total moment, the calculation gives 2.34 μB per formula unit. As for the volume: 125.2 Å³/f.u. The calculation puts the total energy at -1.13281 hartree per atom. Its raw formation energy is 1196 meV/atom.

Quantum ESPRESSO input file:
```
&SYSTEM
  ibrav = 0, nat = 5, ntyp = 4
/
ATOMIC_SPECIES
Zn 65.41 Zn.upf
Sb 121.76 Sb.upf
Te 127.60 Te.upf
Ru 101.07 Ru.upf
ATOMIC_POSITIONS angstrom
Zn 0.000 0.000 0.000
Sb 0.000 0.000 2.453
Te 0.000 2.526 0.000
Te 2.526 0.000 0.000
Ru 2.526 2.526 2.453
CELL_PARAMETERS angstrom
5.052 0.000 0.000
0.000 5.052 0.000
0.000 0.000 4.905
```

---

(9)
First-principles (meta-GGA SCAN) data for a PBEsol-optimized structure of La2CdPb, as listed in Alexandria via LeMat-Bulk. Values from VASP.

Computed properties:
As for the density of states at the Fermi level: 0.87 states/eV per atom. For the total moment, the calculation gives 2.39 μB per formula unit. As for the volume: 114.7 Å³/f.u. The calculation puts the total energy at -1.77295 hartree per atom. The value obtained for the formation energy is -0.143 eV per atom.

Quantum ESPRESSO input file:
```
&SYSTEM
  ibrav = 0, nat = 4, ntyp = 3
/
ATOMIC_SPECIES
La 138.91 La.upf
Cd 112.41 Cd.upf
Pb 207.20 Pb.upf
ATOMIC_POSITIONS angstrom
La 0.000 0.000 0.000
La 1.928 1.928 1.928
Cd 3.857 3.857 3.857
Pb 5.785 5.785 5.785
CELL_PARAMETERS angstrom
0.000 3.857 3.857
3.857 0.000 3.857
3.857 3.857 0.000
```

---

(10)
First-principles (meta-GGA SCAN) data for a PBEsol-optimized structure of BaBeRu2, as listed in Alexandria via LeMat-Bulk. Values from VASP.

Computed properties:
As for the density of states at the Fermi level: 0.93 states/eV per atom. For the total moment, the calculation gives 0.00 μB per formula unit. As for the volume: 68.1 Å³/f.u. The calculation puts the total energy at -0.99936 hartree per atom. The value obtained for the formation energy is 1.195 eV per atom.

Quantum ESPRESSO input file:
```
&SYSTEM
  ibrav = 0, nat = 4, ntyp = 3
/
ATOMIC_SPECIES
Ba 137.33 Ba.upf
Be 9.01 Be.upf
Ru 101.07 Ru.upf
ATOMIC_POSITIONS angstrom
Ba 0.000 0.000 0.000
Be 1.544 0.000 2.510
Ru 0.000 2.197 2.510
Ru 1.544 2.197 0.000
CELL_PARAMETERS angstrom
3.087 0.000 0.000
0.000 4.393 0.000
0.000 0.000 5.019
```

---

(11)
First-principles (meta-GGA SCAN) data for a PBEsol-optimized structure of BeHgCl, as listed in Alexandria via LeMat-Bulk. Values from VASP.

Computed properties:
As for the density of states at the Fermi level: 0.32 states/eV per atom. For the total moment, the calculation gives 0.00 μB per formula unit. As for the volume: 60.8 Å³/f.u. The calculation puts the total energy at -0.99648 hartree per atom. Its raw formation energy is -283 meV/atom.

Quantum ESPRESSO input file:
```
&SYSTEM
  ibrav = 0, nat = 3, ntyp = 3
/
ATOMIC_SPECIES
Be 9.01 Be.upf
Hg 200.59 Hg.upf
Cl 35.45 Cl.upf
ATOMIC_POSITIONS angstrom
Be 0.000 0.000 0.000
Hg 1.586 0.916 1.829
Cl 0.000 1.831 5.779
CELL_PARAMETERS angstrom
3.172 0.000 0.000
-1.586 2.747 0.000
0.000 0.000 6.976
```

---

(12)
First-principles (meta-GGA SCAN) data for a PBEsol-optimized structure of SrLaCoO4, as listed in Alexandria via LeMat-Bulk. Values from VASP.

Computed properties:
For the total moment, the calculation gives 0.00 μB per formula unit. As for the volume: 87.4 Å³/f.u. The calculation puts the total energy at -0.66770 hartree per atom. Its raw formation energy is -2796 meV/atom. As for the energy above the most stable polymorph in this dataset: 6 meV per atom.

Quantum ESPRESSO input file:
```
&SYSTEM
  ibrav = 0, nat = 14, ntyp = 4
/
ATOMIC_SPECIES
Sr 87.62 Sr.upf
La 138.91 La.upf
Co 58.93 Co.upf
O 16.00 O.upf
ATOMIC_POSITIONS angstrom
Sr 2.668 4.821 4.012
Sr 2.668 -4.821 1.337
La 2.668 1.401 4.012
La 2.668 -1.401 1.337
Co 2.668 3.058 1.337
Co 2.668 -3.058 4.012
O 1.334 3.061 0.000
O 1.334 3.061 2.675
O 2.668 4.997 1.337
O 2.668 0.999 1.337
O 1.334 -3.061 0.000
O 1.334 -3.061 2.675
O 2.668 -0.999 4.012
O 2.668 -4.997 4.012
CELL_PARAMETERS angstrom
2.668 -6.122 0.000
2.668 6.122 0.000
0.000 0.000 5.349
```

---

(13)
First-principles (meta-GGA SCAN) data for a PBEsol-optimized structure of Ce2NiRu3, as listed in Alexandria via LeMat-Bulk. Values from VASP.

Computed properties:
As for the density of states at the Fermi level: 1.52 states/eV per atom. For the total moment, the calculation gives 0.00 μB per formula unit. As for the volume: 99.1 Å³/f.u. The calculation puts the total energy at -1.29721 hartree per atom. The value obtained for the formation energy is -0.336 eV per atom.

Quantum ESPRESSO input file:
```
&SYSTEM
  ibrav = 0, nat = 6, ntyp = 3
/
ATOMIC_SPECIES
Ce 140.12 Ce.upf
Ni 58.69 Ni.upf
Ru 101.07 Ru.upf
ATOMIC_POSITIONS angstrom
Ce 0.000 0.000 1.533
Ce 0.000 0.000 10.876
Ni 0.000 0.000 6.204
Ru -1.315 -0.759 4.136
Ru -1.315 0.759 8.272
Ru 0.000 1.518 4.136
CELL_PARAMETERS angstrom
2.630 1.518 4.136
-2.630 1.518 4.136
0.000 -3.037 4.136
```